Entry 1:
Computed, not measured: a relaxed structure of BaCaCuRe2 at the PBE level of DFT.

Lattice parameters (Å, degrees): 5.0529 5.0529 5.5539 90.00 90.00 90.00
With the nearest neighbours (Å) after each atom.
Space group P4/mmm (No. 123)
Symmetry-distinct sites (fractional):
1 Ba 0.0000 0.0000 0.0000 [1 per cell]  4 Re 2.53, 2 Ca 2.78
2 Ca 0.0000 0.0000 0.5000 [1 per cell]  2 Ba 2.78
3 Cu 0.5000 0.5000 0.5000 [1 per cell]  4 Ca 3.57, 8 Re 3.75
4 Re 0.0000 0.5000 0.0000 [2 per cell]  2 Ba 2.53

For the uncorrected energy, the calculation gives -0.269 Ry/atom.


Entry 2:
Computed, not measured: a relaxed structure of ZrTiFe2Au at the PBE level of DFT.

Lattice parameters (Å, degrees): 4.6625 4.6625 5.0041 90.00 90.00 90.00
With the nearest neighbours (Å) after each atom.
Space group P4/mmm (No. 123)
Symmetry-distinct sites (fractional):
1 Zr 0.0000 0.0000 0.0000 [1 per cell]  2 Au 2.50
2 Ti 0.5000 0.5000 0.0000 [1 per cell]  4 Zr 3.30, 8 Fe 3.42
3 Fe 0.0000 0.5000 0.5000 [2 per cell]  2 Au 2.33
4 Au 0.0000 0.0000 0.5000 [1 per cell]  4 Fe 2.33, 2 Zr 2.50

For the uncorrected energy, the calculation gives -0.424 Ry/atom.


| no. | M_tot (μB/atom) |
| --- | --- |
| 1 | 0.337 |
| 2 | 0.432 |